[1]
4
Lattice="3.5054 0.0000 0.0000 1.7527 3.0358 0.0000 1.7527 1.0119 10.7853" Properties=species:S:1:pos:R:3 comment="LuAlPb2, optimized geometry, DFT PBE" polymorph_energy_mev_per_atom=344 ef_ev_per_atom=0.2159 pbc="T T T"
Al 3.5054 2.0239 5.3927
Pb 5.2581 3.0358 3.1155
Pb 1.7527 1.0119 7.6698
Lu 0.0000 0.0000 0.0000



[2]
4
Lattice="4.4300 0.0000 0.0000 0.0000 4.4519 0.0000 0.0000 0.0000 4.4519" Properties=species:S:1:pos:R:3 comment="LuAl2Pb, optimized geometry, DFT PBE" ef_ev_per_atom=-0.1804 pbc="T T T"
Al 0.0000 2.2260 0.0000
Al 0.0000 0.0000 2.2260
Lu 2.2150 0.0000 0.0000
Pb 2.2150 2.2260 2.2260



[3]
4
Lattice="-3.3172 0.0711 3.1157 1.3407 -4.2789 1.5251 2.9529 2.0292 3.0976" Properties=species:S:1:pos:R:3 comment="LuAlPb2, optimized geometry, DFT PBE" polymorph_energy_mev_per_atom=0 ef_ev_per_atom=-0.1281 pbc="T T T"
Lu 0.4882 -1.0893 3.8692
Pb 1.4764 1.0146 1.5488
Pb 0.6704 -2.1394 0.7625
Al -1.6586 0.0355 1.5579



[4]
6
Lattice="-4.9719 -0.1805 -2.5271 -2.4477 -4.9152 -0.9942 -4.5415 -1.4886 2.8805" Properties=species:S:1:pos:R:3 comment="LuAl4Pb, optimized geometry, DFT PBE" ef_ev_per_atom=-0.1266 pbc="T T T"
Al -7.4817 -4.1185 -0.4008
Al -5.2018 -3.3712 -1.8469
Al -6.2529 -1.6510 0.0983
Al -4.9857 -4.0279 0.8678
Pb -2.9903 -1.6461 -0.1602
Lu 0.0000 0.0000 0.0000



[5]
4
Lattice="-4.8270 0.8270 2.0657 -1.0462 -1.4952 4.9921 -0.6776 3.6683 3.7863" Properties=species:S:1:pos:R:3 comment="PmLuAlPb, optimized geometry, DFT PBE" ef_ev_per_atom=-0.2975 pbc="T T T"
Al -1.6377 0.7500 2.7110
Pb -4.9131 2.2500 8.1330
Pm 0.0000 0.0000 0.0000
Lu -3.2754 1.5000 5.4220



[6]
4
Lattice="-1.2916 4.4811 2.3855 -1.2366 -0.0045 5.0902 3.2646 2.1446 3.4903" Properties=species:S:1:pos:R:3 comment="LuPuAlPb, optimized geometry, DFT PBE" ef_ev_per_atom=-0.1576 pbc="T T T"
Pu 0.3682 3.3106 5.4830
Pb 0.1841 1.6553 2.7415
Lu 0.0000 0.0000 0.0000
Al 0.5523 4.9659 8.2245



[7]
4
Lattice="5.3026 0.0000 0.0000 2.6513 4.5922 0.0000 2.6513 1.5307 4.3296" Properties=species:S:1:pos:R:3 comment="SmLuAlPb, optimized geometry, DFT PBE" ef_ev_per_atom=-0.2965 pbc="T T T"
Sm 5.3026 3.0615 2.1648
Al 7.9539 4.5922 3.2472
Lu 0.0000 0.0000 0.0000
Pb 2.6513 1.5307 1.0824



[8]
4
Lattice="-0.8880 -2.2521 4.6675 3.9629 -0.6775 3.3886 0.2236 2.8797 4.3936" Properties=species:S:1:pos:R:3 comment="YLuAlPb, optimized geometry, DFT PBE" ef_ev_per_atom=-0.3004 pbc="T T T"
Lu 0.8246 -0.0125 3.1124
Pb 0.0000 0.0000 0.0000
Y 2.4739 -0.0375 9.3372
Al 1.6492 -0.0250 6.2248



[9]
4
Lattice="3.3888 0.0000 0.0000 0.0000 4.5432 0.0000 0.0000 0.0000 4.5432" Properties=species:S:1:pos:R:3 comment="LuAlPd2, optimized geometry, DFT PBE" ef_ev_per_atom=-0.8429 pbc="T T T"
Pd 0.0000 0.0000 2.2716
Pd 0.0000 2.2716 0.0000
Lu 1.6944 2.2716 2.2716
Al 1.6944 0.0000 0.0000



[10]
3
Lattice="3.2626 0.0000 0.0000 0.0000 3.2626 0.0000 -1.6313 -1.6313 5.3461" Properties=species:S:1:pos:R:3 comment="LuAlPd, optimized geometry, DFT PBE" ef_ev_per_atom=-0.7173 pbc="T T T"
Lu 0.0000 0.0000 0.0629
Pd 1.6313 1.6313 2.0004
Al 0.0000 0.0000 3.2829



[11]
80
Lattice="12.9616 0.0000 0.0000 -4.3205 12.2204 0.0000 -4.3205 -6.1102 10.5831" Properties=species:S:1:pos:R:3 comment="Lu3Al5Pd12, optimized geometry, DFT PBE" ef_ev_per_atom=-0.3521 pbc="T T T"
Pd 3.7693 -1.4113 3.5505
Pd -2.3078 2.8858 6.6907
Pd 1.3298 0.9228 6.1865
Pd -2.7115 6.7961 8.2890
Pd 8.4936 1.2963 0.5530
Pd -0.4268 4.5882 0.8462
Pd 2.0127 8.0382 4.4454
Pd -0.5513 0.6860 2.2941
Pd 2.5870 4.6164 0.8950
Pd 7.0321 -0.6860 2.2941
Pd 5.6503 1.8412 1.3991
Pd 4.1730 1.9280 6.1377
Pd 1.7335 -1.5219 9.7370
Pd 2.5870 7.6321 0.8462
Pd -4.4681 8.9960 3.8924
Pd -1.7335 -0.0282 8.8420
Pd -0.8305 7.0330 4.3966
Pd 2.3078 -1.9280 6.1377
Pd 0.5513 7.5215 7.0327
Pd -1.6090 -0.7254 4.7386
Pd 8.7886 -2.8858 6.6907
Pd 7.8106 -4.2690 9.1840
Pd 1.6090 4.6989 7.0327
Pd -4.7473 0.0282 8.8420
Pd 5.9295 6.8355 5.8446
Pd -5.1510 3.3462 7.5857
Pd 2.9908 5.1874 4.3966
Pd 2.7115 1.4113 3.5505
Pd 9.0679 6.0820 1.7411
Pd 5.1510 -0.9228 6.1865
Pd 9.4716 2.7640 2.9975
Pd 4.7473 -1.4937 9.6882
Pd 4.7473 1.5219 9.7370
Pd 5.6503 9.4564 2.9975
Pd -1.3298 -3.3462 7.5857
Pd -1.3298 4.2690 9.1840
Pd 4.8718 5.4242 8.2890
Pd -0.4267 7.6039 0.8950
Pd -3.4901 10.3791 1.3991
Pd 8.0898 0.7254 4.7386
Pd -2.3078 -4.8139 10.0302
Pd 6.6284 3.2243 3.8924
Pd -3.7693 5.3848 5.8446
Pd 0.1475 4.1822 4.4454
Pd -4.1730 4.8139 10.0302
Pd 1.7335 1.4938 9.6882
Pd 6.6284 10.9240 0.5530
Pd 6.0541 6.1384 1.7411
Lu 7.5610 3.8189 1.3229
Lu -5.4007 6.1102 7.9374
Lu 1.0801 6.1102 2.6458
Lu -3.2404 -2.2913 9.2602
Lu 7.5610 8.4015 1.3229
Lu 9.7212 0.0000 2.6458
Lu -1.0801 5.3464 6.6145
Lu 1.0801 -0.7638 3.9687
Lu 5.4007 0.7638 3.9687
Lu -3.2404 2.2913 9.2602
Lu 3.2404 6.8740 6.6145
Lu 3.2404 0.0000 7.9374
Al 2.1603 3.0551 5.2916
Al 1.0801 3.8189 9.2602
Al 4.3205 6.1102 0.0000
Al 5.4007 -3.8189 9.2602
Al 7.5610 -0.7638 6.6145
Al 6.4808 0.0000 0.0000
Al 1.0801 -3.0551 7.9374
Al -1.0801 3.0551 2.6458
Al 3.2404 2.2913 1.3229
Al 4.3205 -3.0551 5.2916
Al 5.4007 3.0551 7.9374
Al -2.1603 6.1102 0.0000
Al -3.2404 6.8740 3.9687
Al 5.4007 5.3464 3.9687
Al 3.2404 9.1653 2.6458
Al -4.3205 3.0551 5.2916
Al 0.0000 0.0000 0.0000
Al -2.1603 -3.0551 5.2916
Al -1.0801 9.9290 1.3229
Al -1.0801 0.7638 6.6145



[12]
3
Lattice="-2.0308 2.8414 0.0967 -2.7053 -2.0307 2.8542 3.4115 2.3872 1.5004" Properties=species:S:1:pos:R:3 comment="LuAlPd, optimized geometry, DFT PBE" ef_ev_per_atom=-0.7828 pbc="T T T"
Al -0.3386 0.4738 0.0161
Lu -2.0202 1.3362 2.4674
Pd 1.0342 1.3879 1.9678



[13]
3
Lattice="-3.9305 1.4005 1.7552 -3.5392 0.7816 -2.7119 -3.5667 -2.7865 0.0736" Properties=species:S:1:pos:R:3 comment="LuAlPd, optimized geometry, DFT PBE" ef_ev_per_atom=-0.6484 pbc="T T T"
Lu 0.0000 0.0000 0.0000
Al -5.5182 -0.3021 -0.4415
Pd -2.7591 -0.1511 -0.2208



[14]
4
Lattice="-2.7809 -1.7890 0.0447 1.2892 -2.0600 -2.2428 2.3991 -3.6121 4.6969" Properties=species:S:1:pos:R:3 comment="LuAlPd2, optimized geometry, DFT PBE" ef_ev_per_atom=-0.8729 pbc="T T T"
Pd 0.5309 -0.7993 1.0394
Pd 1.8682 -2.8127 3.6574
Al -0.7459 -1.9245 -1.0991
Lu 0.4537 -3.7305 1.2494



[15]
9
Lattice="-0.4761 6.5947 2.5989 -4.4118 -5.0606 2.3232 2.5821 -0.9395 2.8570" Properties=species:S:1:pos:R:3 comment="LuAlPd, optimized geometry, DFT PBE" ef_ev_per_atom=-0.8925 pbc="T T T"
Pd -0.4969 2.2398 3.9355
Pd 0.0000 0.0000 0.0000
Pd -1.8088 -1.6453 3.8436
Al 1.1759 1.1254 2.0571
Al -2.4145 0.6932 5.1599
Al 0.2239 -1.6939 1.9904
Lu -2.0208 0.6342 2.0350
Lu -0.2792 3.8682 1.5244
Lu -2.5878 -2.9684 1.3627



[16]
4
Lattice="-3.3810 -2.4799 2.8571 1.5803 -2.9616 3.8047 -0.7812 1.4154 4.8094" Properties=species:S:1:pos:R:3 comment="PmLuAlPd, optimized geometry, DFT PBE" ef_ev_per_atom=-0.5495 pbc="T T T"
Lu -1.9364 -3.0196 8.6034
Pd 0.0000 0.0000 0.0000
Al -1.2909 -2.0131 5.7356
Pm -0.6455 -1.0065 2.8678



[17]
4
Lattice="4.5384 0.0000 0.0000 2.2692 3.9304 0.0000 2.2692 1.3101 3.7056" Properties=species:S:1:pos:R:3 comment="LuAlPdRu, optimized geometry, DFT PBE" ef_ev_per_atom=-0.7372 pbc="T T T"
Ru 6.8076 3.9304 2.7792
Lu 4.5384 2.6203 1.8528
Pd 2.2692 1.3101 0.9264
Al 0.0000 0.0000 0.0000



[18]
4
Lattice="5.0601 0.0000 0.0000 2.5301 4.3822 0.0000 2.5301 1.4607 4.1316" Properties=species:S:1:pos:R:3 comment="SmLuAlPd, optimized geometry, DFT PBE" ef_ev_per_atom=-0.5589 pbc="T T T"
Sm 5.0601 2.9215 2.0658
Al 7.5902 4.3822 3.0987
Lu 0.0000 0.0000 0.0000
Pd 2.5301 1.4607 1.0329



[19]
4
Lattice="-2.7925 4.2760 -0.1892 -4.8602 -0.0501 1.5792 -1.3069 2.3918 4.3231" Properties=species:S:1:pos:R:3 comment="LuThAlPd, optimized geometry, DFT PBE" ef_ev_per_atom=-0.4633 pbc="T T T"
Al -4.4798 3.3089 2.8565
Th -2.2399 1.6544 1.4283
Pd 0.0000 0.0000 0.0000
Lu -6.7198 4.9633 4.2848



[20]
4
Lattice="-4.1633 1.7163 1.0513 -3.3133 -2.7946 1.6113 -1.3294 0.2981 4.4190" Properties=species:S:1:pos:R:3 comment="LuAlZnPd, optimized geometry, DFT PBE" ef_ev_per_atom=-0.6348 pbc="T T T"
Lu -2.2015 -0.1950 1.7704
Zn -4.4030 -0.3901 3.5408
Al -6.6045 -0.5851 5.3113
Pd 0.0000 0.0000 0.0000



[21]
4
Lattice="-3.9975 -2.4912 0.5375 1.4468 -1.3965 4.2873 -2.0946 3.7792 1.9378" Properties=species:S:1:pos:R:3 comment="PmLu2Al, optimized geometry, DFT PBE" polymorph_energy_mev_per_atom=36 ef_ev_per_atom=-0.1662 pbc="T T T"
Al -1.9988 -1.2456 0.2688
Lu 0.7234 -0.6983 2.1437
Lu -1.0473 1.8896 0.9689
Pm -2.3226 -0.0543 3.3813



[22]
4
Lattice="-1.3832 2.0366 2.4772 -1.9222 -2.6860 1.1349 6.5217 -2.3219 5.5504" Properties=species:S:1:pos:R:3 comment="PmLu2Al, optimized geometry, DFT PBE" polymorph_energy_mev_per_atom=0 ef_ev_per_atom=-0.2024 pbc="T T T"
Pm 1.6081 -1.4857 4.5813
Lu 5.1565 -1.8358 4.3885
Lu 1.3652 -0.4861 1.1619
Al -1.6527 -0.3247 1.8061



[23]
6
Lattice="-5.2815 -0.4839 1.7294 -1.0914 -1.8736 5.1398 -1.9970 3.4830 3.8729" Properties=species:S:1:pos:R:3 comment="PmLuAl4, optimized geometry, DFT PBE" ef_ev_per_atom=-0.4827 pbc="T T T"
Pm -2.0925 0.2814 2.6855
Al -5.2325 0.7036 6.7155
Al -4.6861 1.6417 4.1423
Al -2.5884 0.9459 5.8497
Al -4.2327 -1.0401 4.7766
Lu 0.0000 0.0000 0.0000



[24]
4
Lattice="5.3158 0.0000 0.0000 2.6579 4.6036 0.0000 2.6579 1.5345 4.3403" Properties=species:S:1:pos:R:3 comment="PmLu2Al, optimized geometry, DFT PBE" polymorph_energy_mev_per_atom=222 ef_ev_per_atom=0.0199 pbc="T T T"
Pm 0.0000 0.0000 0.0000
Al 5.3158 3.0691 2.1702
Lu 7.9737 4.6036 3.2552
Lu 2.6579 1.5345 1.0851



[25]
4
Lattice="-0.8255 5.2766 -0.9779 -4.4460 1.6026 -2.6729 -3.9341 2.6649 2.6270" Properties=species:S:1:pos:R:3 comment="PmPrLuAl, optimized geometry, DFT PBE" ef_ev_per_atom=-0.0771 pbc="T T T"
Pr -2.3014 2.3860 -0.2559
Lu 0.0000 0.0000 0.0000
Pm -6.9042 7.1580 -0.7678
Al -4.6028 4.7720 -0.5119



[26]
4
Lattice="-2.7226 -1.8495 3.8276 0.5250 -4.8307 1.3681 2.2482 -1.1558 4.3696" Properties=species:S:1:pos:R:3 comment="PmLuAlPt, optimized geometry, DFT PBE" ef_ev_per_atom=-0.6988 pbc="T T T"
Pm 0.0000 0.0000 0.0000
Lu 0.0253 -3.9180 4.7826
Pt 0.0380 -5.8771 7.1739
Al 0.0127 -1.9590 2.3913